1.
Density functional theory data (GGA-PBE) for crystalline CeEr2In2Hg2 at its relaxed geometry.

Cell and atoms, written as POSCAR:
```
CeEr2In2Hg2
1.0
4.974 0.000 0.000
2.487 4.308 0.000
2.487 1.436 8.850
Ce Er In Hg
1 2 2 2
Direct
0.000 0.000 0.000
0.132 0.132 0.604
0.868 0.868 0.396
0.735 0.735 0.796
0.265 0.265 0.204
0.569 0.569 0.294
0.431 0.431 0.706
```

Results
SG   R-3m
DOS at the Fermi energy   10.48 states/eV/cell
ΔE_f   -1.70 eV per formula unit
Total energy   -22.8 eV for the cell shown



2.
Density functional theory data (GGA-PBE) for crystalline LaCe2ErHg4 at its relaxed geometry.

Cell and atoms, written as POSCAR:
```
LaCe2ErHg4
1.0
5.387 0.000 0.000
2.693 4.665 0.000
2.693 1.555 8.863
La Ce Er Hg
1 2 1 4
Direct
0.000 0.000 0.000
0.750 0.750 0.751
0.250 0.250 0.249
0.500 0.500 0.500
0.380 0.380 0.861
0.872 0.872 0.385
0.128 0.128 0.615
0.620 0.620 0.139
```

Results
SG   R-3m
DOS at the Fermi energy   21.67 states/eV/cell
ΔE_f   -2.98 eV per formula unit
Total energy   -25.5 eV for the cell shown



3.
Density functional theory data (GGA-PBE) for crystalline Li2CeErHg4 at its relaxed geometry.

Cell and atoms, written as POSCAR:
```
Li2CeErHg4
1.0
5.066 0.000 0.000
2.533 4.387 0.000
2.533 1.462 8.317
Li Ce Er Hg
2 1 1 4
Direct
0.752 0.752 0.745
0.248 0.248 0.255
0.000 0.000 0.000
0.500 0.500 0.500
0.378 0.378 0.865
0.872 0.872 0.383
0.128 0.128 0.617
0.622 0.622 0.135
```

Results
SG   R-3m
DOS at the Fermi energy   11.02 states/eV/cell
ΔE_f   -3.09 eV per formula unit
Total energy   -18.6 eV for the cell shown



4.
Density functional theory data (GGA-PBE) for crystalline LiCe2ErHg4 at its relaxed geometry.

Cell and atoms, written as POSCAR:
```
LiCe2ErHg4
1.0
-3.982 1.618 -3.013
-4.939 -1.188 1.318
-3.496 7.417 4.032
Li Ce Er Hg
1 2 1 4
Direct
0.500 0.500 0.500
0.752 0.752 0.743
0.248 0.248 0.257
0.000 0.000 0.000
0.375 0.375 0.874
0.874 0.874 0.377
0.126 0.126 0.623
0.625 0.625 0.126
```

Results
SG   R-3m
DOS at the Fermi energy   18.30 states/eV/cell
ΔE_f   -2.84 eV per formula unit
Total energy   -22.4 eV for the cell shown



5.
Density functional theory data (GGA-PBE) for crystalline CeNdErHg at its relaxed geometry.

Cell and atoms, written as POSCAR:
```
CeNdErHg
1.0
5.389 0.000 0.000
2.694 4.667 0.000
2.694 1.556 4.400
Nd Hg Ce Er
1 1 1 1
Direct
0.000 0.000 0.000
0.250 0.250 0.250
0.750 0.750 0.750
0.500 0.500 0.500
```

Results
SG   F-43m
DOS at the Fermi energy   8.84 states/eV/cell
ΔE_f   0.05 eV per formula unit
Total energy   -15.5 eV for the cell shown



6.
Density functional theory data (GGA-PBE) for crystalline CeErHgOs at its relaxed geometry.

Cell and atoms, written as POSCAR:
```
CeErHgOs
1.0
-2.930 -3.785 -1.623
2.087 -4.370 -1.445
-0.584 -4.140 2.839
Os Hg Ce Er
1 1 1 1
Direct
0.250 0.250 0.250
0.750 0.750 0.750
0.500 0.500 0.500
0.000 0.000 0.000
```

Results
SG   F-43m
DOS at the Fermi energy   4.57 states/eV/cell
ΔE_f   -0.80 eV per formula unit
ΔE to the lowest computed polymorph   155 meV per atom
Total energy   -22.8 eV for the cell shown



> Look up the total energy of the sixth one.

-22.8 eV for the cell shown



> Which value of total energy does entry 5 give?

-15.5 eV for the cell shown



> The lowest ΔE_f belongs to which entry?

Li2CeErHg4



> Which formula does entry 1 have?

CeEr2In2Hg2